1.
This record from Alexandria via LeMat-Bulk describes a geometry-optimized CsRb2BaBr4 structure. The functional is PBE.

Calculated values
Calculated total energy (eV/atom): -3.090
Symmetry: P2/m (10)
Formation energy from raw total energies (eV per formula unit): -13.32

Cell lengths 5.0039, 8.9081, 9.2397 Å; angles 71.67, 90.00, 90.00 degrees
Last column: nearest neighbours and their distance in Å.
Fractional positions:
Br1 0.5000 0.7097 0.3005  2 Ba 3.31, 1 Rb 3.62
Br2 0.0000 0.2679 0.2881  1 Ba 3.26, 2 Rb 3.58
Br3 0.5000 0.2903 0.6995  2 Ba 3.31, 1 Rb 3.62
Br4 0.0000 0.7321 0.7119  1 Ba 3.26, 2 Rb 3.58
Rb1 0.0000 0.0000 0.0000  6 Br 4.02-4.10
Rb2 0.5000 0.0000 0.5000  6 Br 3.58-3.62
Cs1 0.5000 0.5000 0.0000  6 Br 3.76-3.80
Ba1 0.0000 0.5000 0.5000  6 Br 3.26-3.31

2.
This record from Alexandria via LeMat-Bulk describes a geometry-optimized Nd2HoAu structure. The functional is PBE.

Calculated values
Calculated total energy (eV/atom): -4.587
Symmetry: R-3m (166)
Formation energy (eV/atom): -0.24
Energy relative to the lowest polymorph listed for this composition (meV/atom): 162

Cell lengths 3.7290, 3.7290, 10.4880 Å; angles 79.76, 79.76, 60.00 degrees
Last column: nearest neighbours and their distance in Å.
Fractional positions:
Nd1 0.7392 0.7392 0.7824  3 Au 3.10
Nd2 0.2608 0.2608 0.2176  3 Au 3.10
Au1 0.0000 0.0000 0.0000  6 Nd 3.10
Ho1 0.5000 0.5000 0.5000  6 Nd 3.61, 6 Ho 3.73

3.
This record from Alexandria via LeMat-Bulk describes a geometry-optimized Sm4AlZn2Pd structure. The functional is PBE.

Calculated values
Calculated total energy (eV/atom): -4.248
Symmetry: R-3m (166)
Formation energy (eV/atom): -0.45

Cell lengths 5.1420, 5.1420, 8.9099 Å; angles 73.23, 73.23, 60.00 degrees
Last column: nearest neighbours and their distance in Å.
Fractional positions:
Sm1 0.3782 0.3782 0.8655  1 Pd 3.07, 4 Zn 3.08-3.09, 3 Al 3.18
Sm2 0.8728 0.8728 0.3816  3 Pd 3.13, 1 Al 3.21, 4 Zn 3.22-3.23
Sm3 0.1272 0.1272 0.6184  3 Pd 3.13, 1 Al 3.21, 4 Zn 3.22-3.23
Sm4 0.6218 0.6218 0.1345  1 Pd 3.07, 4 Zn 3.08-3.09, 3 Al 3.18
Pd1 0.5000 0.5000 0.5000  8 Sm 3.07-3.13
Al1 0.0000 0.0000 0.0000  8 Sm 3.18-3.21
Zn1 0.7445 0.7445 0.7664  8 Sm 3.08-3.23
Zn2 0.2555 0.2555 0.2336  8 Sm 3.08-3.23